Record 1
AcZr: optimized geometry, GGA-PBE.

The formation energy is 22.1 kJ per mole of atoms. The calculation puts the total magnetization at 0.00 μB/cell. The energy above the most stable polymorph in this dataset comes out at 90 meV/atom.

The structure belongs to space group Pmmn (No. 59, origin choice 2); the cell edges are 5.581, 14.354 and 6.470 Å and the angles 90.00°, 90.00° and 90.00°. The inequivalent atoms are Ac at (0.250, 0.090, 0.115), Ac at (0.250, 0.250, 0.659), Ac at (0.250, 0.750, 0.731), Zr at (0.250, 0.011, 0.623) and Zr at (0.250, 0.629, 0.245).

***

Record 2
HoMgTlTe3: optimized geometry, GGA-PBE.

The calculation puts the total magnetization at 0.00 μB/cell. The energy above the most stable polymorph in this dataset comes out at 4 meV/atom.

The structure belongs to space group Pnma (No. 62); the cell edges are 15.559, 4.467 and 11.932 Å and the angles 90.00°, 90.00° and 90.00°. The inequivalent atoms are Ho at (0.025, 0.250, 0.152), Mg at (0.019, 0.750, 0.400), Tl at (0.238, 0.250, 0.452), Te at (0.090, 0.750, 0.621), Te at (0.101, 0.250, 0.919) and Te at (0.147, 0.750, 0.238).

***

Record 3
LiCuNiTe2Se: optimized geometry, GGA-PBE.

The calculation puts the total magnetization at 0.01 μB/cell. As for the final energy: -90.368 eV per cell.

The structure belongs to space group Cmcm (No. 63); the cell edges are 3.803, 12.483 and 10.153 Å and the angles 90.00°, 90.00° and 90.00°. The inequivalent atoms are Li at (0.000, 0.242, 0.250), Cu at (0.000, 0.060, 0.750), Ni at (0.000, 0.500, 0.000), Te at (0.000, 0.141, 0.522) and Se at (0.000, 0.439, 0.750).

***

Record 4
SrLiLuSe3: optimized geometry, GGA-PBE.

The calculation puts the total magnetization at 0.02 μB/cell. The energy above the most stable polymorph in this dataset comes out at 38 meV/atom.

The structure belongs to space group P2_1/m (No. 11); the cell edges are 7.868, 4.100 and 9.816 Å and the angles 90.00°, 106.32° and 90.00°. The inequivalent atoms are Sr at (0.248, 0.250, 0.293), Li at (0.087, 0.250, 0.589), Lu at (0.310, 0.750, 0.845), Se at (0.068, 0.250, 0.839), Se at (0.253, 0.750, 0.544) and Se at (0.435, 0.750, 0.143).

***

Record 5
NbCo: optimized geometry, GGA-PBE.

The formation energy is 104.8 kJ per mole of atoms. The calculation puts the total magnetization at 0.00 μB/cell.

The structure belongs to space group F-43m (No. 216); the cell edges are 5.368, 5.368 and 5.368 Å and the angles 90.00°, 90.00° and 90.00°. The inequivalent atoms are Nb at (0.000, 0.000, 0.000) and Co at (0.250, 0.250, 0.250).

***

Record 6
HgH: optimized geometry, GGA-PBE.

The energy above the most stable polymorph in this dataset comes out at 318 meV/atom.

The structure belongs to space group R-3m (No. 166, hexagonal axes); the cell edges are 3.3859, 3.3859 and 8.9567 Å and the angles 90.00°, 90.00° and 120.00°. The inequivalent atoms are Hg at (0.0000, 0.0000, 0.0000) and H at (0.0000, 0.0000, 0.5000).

***

Record 7
TaNi12: optimized geometry, GGA-PBE.

The formation energy is 7.1 kJ per mole of atoms. The calculation puts the total magnetization at 9.14 μB/cell.

The structure belongs to space group R-3m (No. 166, hexagonal axes); the cell edges are 4.6123, 4.6123 and 24.7788 Å and the angles 90.00°, 90.00° and 120.00°. The inequivalent atoms are Ta at (0.0000, 0.0000, 0.0000), Ni at (0.0000, 0.0000, 0.1644), Ni at (0.0000, 0.0000, 0.3496), Ni at (0.0000, 0.0000, 0.4536) and Ni at (0.0053, 0.5027, 0.4149).

***

Record 8
PrGeTe3Pb: optimized geometry, GGA-PBE.

The calculation puts the total magnetization at 0.03 μB/cell. As for the final energy: -103.085 eV per cell.

The structure belongs to space group Cmcm (No. 63); the cell edges are 4.479, 15.293 and 11.203 Å and the angles 90.00°, 90.00° and 90.00°. The inequivalent atoms are Pr at (0.000, 0.000, 0.000), Ge at (0.000, 0.473, 0.250), Te at (0.000, 0.110, 0.250), Te at (0.000, 0.351, 0.047) and Pb at (0.000, 0.226, 0.750).

***

Record 9
TaBiMo: optimized geometry, GGA-PBE.

The calculation puts the total magnetization at 0.00 μB/cell. As for the final energy: -96.157 eV per cell.

The structure belongs to space group F-43m (No. 216); the cell edges are 6.523, 6.523 and 6.523 Å and the angles 90.00°, 90.00° and 90.00°. The inequivalent atoms are Ta at (0.000, 0.000, 0.000), Bi at (0.250, 0.250, 0.750) and Mo at (0.250, 0.250, 0.250).

***

Record 10
PaTlO4: optimized geometry, GGA-PBE.

The calculation puts the total magnetization at 0.00 μB/cell. As for the final energy: -43.260 eV per cell.

The structure belongs to space group P4/mmm (No. 123); the cell edges are 3.839, 3.839 and 5.412 Å and the angles 90.00°, 90.00° and 90.00°. The inequivalent atoms are Pa at (0.000, 0.000, 0.000), Tl at (0.500, 0.500, 0.500) and O at (0.000, 0.500, 0.240).

***

Record 11
NaErGe: optimized geometry, GGA-PBE.

The calculation puts the total magnetization at 0.00 μB/cell. As for the final energy: -45.911 eV per cell.

The structure belongs to space group F-43m (No. 216); the cell edges are 6.812, 6.812 and 6.812 Å and the angles 90.00°, 90.00° and 90.00°. The inequivalent atoms are Na at (0.000, 0.000, 0.000), Er at (0.000, 0.000, 0.500) and Ge at (0.250, 0.250, 0.750).

***

Record 12
BaCuS2: optimized geometry, GGA-PBE.

As for the final energy: -72.798 eV per cell.

The structure belongs to space group Cmcm (No. 63); the cell edges are 6.739, 10.996 and 5.399 Å and the angles 90.00°, 90.00° and 90.00°. The inequivalent atoms are Ba at (0.000, 0.151, 0.250), Cu at (0.000, 0.500, 0.000) and S at (0.236, 0.402, 0.250).

***

Calculated density (computed, g/cm³): 8.2; 6.2; 6.4; 5.5; 6.5; 11.3; 9.7; 7.0; 11.6; 10.4; 5.5; 4.4